1.
Density functional theory data (PBE) for crystalline Nd4Dy3Y5 at its relaxed geometry.

Unit cell a=5.9557 b=8.6513 c=9.7426 alpha=105.75 beta=72.20 gamma=69.87
Last column: nearest neighbours and their distance in Å.
Element x y z (fractional)
Nd  0.8624  0.2220  0.0532  2 Nd 3.31-3.68, 1 Dy 3.45, 3 Y 3.45-3.56
Nd  0.1659  0.0509  0.6173  3 Dy 3.35-3.55, 3 Nd 3.57-3.68, 3 Y 3.70-3.71
Nd  0.8341  0.9491  0.3827  3 Dy 3.35-3.55, 3 Nd 3.57-3.68, 3 Y 3.70-3.71
Nd  0.1376  0.7780  0.9468  2 Nd 3.31-3.68, 1 Dy 3.45, 3 Y 3.45-3.56
Dy  0.5235  0.6881  0.2649  5 Y 3.15-3.48, 2 Nd 3.35-3.45
Dy  0.0000  0.5000  0.5000  2 Y 2.98
Dy  0.4765  0.3119  0.7351  5 Y 3.15-3.48, 2 Nd 3.35-3.45
Y  0.6319  0.9399  0.7964  2 Dy 3.30-3.47, 2 Y 3.48-3.65
Y  0.5000  0.5000  0.5000  4 Dy 2.98-3.15
Y  0.2134  0.4574  0.1158  4 Dy 3.22-3.48, 3 Nd 3.45-3.56
Y  0.7866  0.5426  0.8842  4 Dy 3.22-3.48, 3 Nd 3.45-3.56
Y  0.3681  0.0601  0.2036  2 Dy 3.30-3.47, 2 Y 3.48-3.65

Summary:
E_tot (eV/atom): -5.21

=====

2.
Density functional theory data (PBE) for crystalline YTe2Se at its relaxed geometry.

Unit cell a=5.5710 b=5.5710 c=4.5197 alpha=75.44 beta=75.44 gamma=111.88
Last column: nearest neighbours and their distance in Å.
Element x y z (fractional)
Se  0.0000  0.5000  0.5000  4 Te 3.11, 2 Y 3.12
Te  0.0000  0.0000  0.0000  2 Se 3.11, 2 Y 3.11, 2 Te 3.12
Te  0.5000  0.5000  0.0000  2 Y 3.11, 2 Se 3.11, 2 Te 3.12
Y  0.5000  0.0000  0.5000  4 Te 3.11, 2 Se 3.12

Summary:
Formation energy (no corrections) (eV per atom): -0.644

=====

Number 1: volume 33.9 Å³ per atom. Number 2: volume 29.1 Å³ per atom.